## a
VSe2N2, optimized geometry, DFT PBE; total magnetization = 0.067 μB per cell; symmetry = No. 123; N(E_F) = 8.7 states/eV/f.u.
1.0
3.793 0.000 0.000
0.000 3.793 0.000
0.000 0.000 5.098
N V Se
2 1 2
direct
0.500 0.000 0.000 N
0.000 0.500 0.000 N
0.500 0.500 0.500 V
0.000 0.000 0.500 Se
0.000 0.000 0.000 Se



## b
VSe2N2, optimized geometry, DFT PBE; total magnetization = 1.351 μB per cell; symmetry = No. 123; N(E_F) = 3.3 states/eV/f.u.
1.0
4.899 0.000 0.000
0.000 4.899 0.000
0.000 0.000 3.648
Se V N
2 1 2
direct
0.000 0.500 0.000 Se
0.500 0.000 0.000 Se
0.000 0.000 0.000 V
0.500 0.500 0.500 N
0.000 0.000 0.500 N



## c
VSe2N2, optimized geometry, DFT PBE; total magnetization = 1.781 μB per cell; symmetry = No. 123; N(E_F) = 2.6 states/eV/f.u.
1.0
-1.679 0.893 -3.737
1.855 -3.383 -1.642
-3.083 -2.117 0.879
V N Se
1 2 2
direct
0.500 0.500 0.500 V
0.000 0.000 0.000 N
0.000 0.000 0.500 N
0.500 0.000 0.000 Se
0.000 0.500 0.000 Se



## d
VSe2N2, optimized geometry, DFT PBE; total magnetization = 0.000 μB per cell; symmetry = No. 123; N(E_F) = 2.8 states/eV/f.u.
1.0
-3.255 0.594 -1.740
0.489 -3.131 -1.984
-2.722 -3.002 4.068
Se N V
2 2 1
direct
0.000 0.000 0.500 Se
0.500 0.500 0.500 Se
0.000 0.500 0.000 N
0.500 0.000 0.000 N
0.000 0.000 0.000 V



d is the most stable structure shown above.